## KV4Ag3O12 (PBE+U)

Data for an optimized crystal structure of KV4Ag3O12.

Results
As for the density of states at the Fermi level: 0.516 states/eV/atom. Its space group is R32, No. 155. The calculation puts the energy at -6.06 eV per atom.

a = 7.458 Å, b = 7.458 Å, c = 7.458 Å
α = 110.91°, β = 110.91°, γ = 110.91°
Site moments in Bohr magnetons follow the coordinates.
Atoms (fractional coordinates):
O 0.940 0.500 0.060  -0.02
O 0.792 0.117 0.652  -0.02
O 0.348 0.883 0.208  -0.02
O 0.117 0.652 0.792  -0.02
O 0.060 0.940 0.500  -0.02
O 0.883 0.208 0.348  -0.02
O 0.500 0.360 0.640  -0.13
O 0.652 0.792 0.117  -0.02
O 0.208 0.348 0.883  -0.02
O 0.360 0.640 0.500  -0.13
O 0.500 0.060 0.940  -0.02
O 0.640 0.500 0.360  -0.13
V 0.922 0.078 0.500  0.00
V 0.500 0.922 0.078  0.00
V 0.078 0.500 0.922  0.00
V 0.500 0.500 0.500  0.83
Ag 0.575 0.425 0.000  -0.14
Ag 0.425 0.000 0.575  -0.14
Ag 0.000 0.575 0.425  -0.14
K 0.000 0.000 0.000  0.01